5
Lattice="4.951 0.000 0.000 0.000 4.951 0.000 0.000 0.000 4.951" Properties=species:S:1:pos:R:3 comment="Pm3MnO, optimized geometry, DFT GGA+U" vol_a3_per_fu=121.4 energy_ev_per_atom=-6.375 pbc="T T T"
Pm 0.000 0.000 2.476
Pm 0.000 2.476 0.000
Pm 2.476 0.000 0.000
Mn 2.476 2.476 2.476
O 0.000 0.000 0.000